# 1
The following is a DFT calculation (GGA-PBE) of NaSrH3 after structural relaxation.

Output
**VASP energy**: -2.779 eV per atom
**M_tot**: 0.000 Bohr magnetons per cell

Lattice parameters (Å, degrees): 4.6546 4.6546 4.6546 90.00 90.00 90.00
Space group Pm-3m (No. 221)
Inequivalent atoms, fractional coordinates:
Na (0.0000, 0.0000, 0.0000)
Sr (0.5000, 0.5000, 0.5000)
H (0.0000, 0.5000, 0.5000)


# 2
The following is a DFT calculation (GGA-PBE) of LiMgNb after structural relaxation.

Output
**VASP energy**: -3.302 eV per atom
**M_tot**: 0.000 Bohr magnetons per cell
**Energy relative to the elements**: 3.67 eV/f.u.

Lattice parameters (Å, degrees): 6.3561 6.3561 6.3561 90.00 90.00 90.00
Space group F-43m (No. 216)
Inequivalent atoms, fractional coordinates:
Li (0.0000, 0.0000, 0.0000)
Mg (0.2500, 0.2500, 0.2500)
Nb (0.0000, 0.0000, 0.5000)


# 3
The following is a DFT calculation (GGA-PBE) of Rb2NaSBr6 after structural relaxation.

Output
**VASP energy**: -2.608 eV per atom
**M_tot**: 1.941 Bohr magnetons per cell
**Energy relative to the elements, uncorrected**: -866 meV per atom

Lattice parameters (Å, degrees): 7.9156 7.9156 10.8719 90.00 90.00 90.00
Space group I4/mmm (No. 139)
Inequivalent atoms, fractional coordinates:
Rb (0.0000, 0.5000, 0.2500)
Na (0.0000, 0.0000, 0.0000)
S (0.0000, 0.0000, 0.5000)
Br (0.0000, 0.0000, 0.2719)
Br (0.2430, 0.2430, 0.5000)


# 4
The following is a DFT calculation (GGA-PBE) of BaNa2Cd6 after structural relaxation.

Output
**VASP energy**: -1.254 eV per atom
**M_tot**: 0.000 Bohr magnetons per cell
**Energy relative to the elements**: -1.23 eV/f.u.

Lattice parameters (Å, degrees): 3.7785 8.9027 15.2112 90.00 90.00 90.00
Space group Immm (No. 71)
Inequivalent atoms, fractional coordinates:
Ba (0.0000, 0.0000, 0.0000)
Na (0.0000, 0.5000, 0.1442)
Cd (0.0000, 0.1640, 0.5000)
Cd (0.0000, 0.3186, 0.3215)


# 5
The following is a DFT calculation (GGA-PBE) of LiBe2Cr after structural relaxation.

Output
**VASP energy**: -4.455 eV per atom
**M_tot**: 0.162 Bohr magnetons per cell
**Energy relative to the elements**: 1.17 eV/f.u.

Lattice parameters (Å, degrees): 2.4078 2.4078 25.0975 90.00 90.00 120.00
Space group R3m (No. 160, hexagonal axes)
Inequivalent atoms, fractional coordinates:
Li (0.0000, 0.0000, 0.0000)
Be (0.0000, 0.0000, 0.4934)
Be (0.0000, 0.0000, 0.7535)
Cr (0.0000, 0.0000, 0.2397)


# 6
The following is a DFT calculation (GGA-PBE) of CaAcTe after structural relaxation.

Output
**VASP energy**: -3.934 eV per atom
**M_tot**: 0.002 Bohr magnetons per cell
**Energy relative to the elements, uncorrected**: -851 meV per atom

Lattice parameters (Å, degrees): 4.0110 4.0110 13.8711 90.00 90.00 90.00
Space group I4mm (No. 107)
Inequivalent atoms, fractional coordinates:
Ca (0.0000, 0.0000, 0.0000)
Ac (0.0000, 0.0000, 0.7206)
Te (0.0000, 0.0000, 0.3691)


# 7
The following is a DFT calculation (GGA-PBE) of Pu2BePb after structural relaxation.

Output
**VASP energy**: -8.911 eV per atom
**M_tot**: 11.494 Bohr magnetons per cell
**Energy relative to the elements**: 0.45 eV/f.u.

Lattice parameters (Å, degrees): 3.3661 3.3661 8.2594 90.00 90.00 90.00
Space group P4/mmm (No. 123)
Inequivalent atoms, fractional coordinates:
Pu (0.0000, 0.0000, 0.2017)
Be (0.5000, 0.5000, 0.0000)
Pb (0.5000, 0.5000, 0.5000)


# 8
The following is a DFT calculation (GGA-PBE) of Tb7PrTh3 after structural relaxation.

Output
**VASP energy**: -5.251 eV per atom
**M_tot**: 0.000 Bohr magnetons per cell
**Energy relative to the elements**: 1.68 eV/f.u.

Lattice parameters (Å, degrees): 6.4706 6.7270 8.7037 101.20 97.32 96.68
Space group P-1 (No. 2)
Inequivalent atoms, fractional coordinates:
Tb (0.0000, 0.0000, 0.0000)
Tb (0.0712, 0.7156, 0.6426)
Tb (0.2088, 0.2301, 0.7041)
Tb (0.4923, 0.7329, 0.9236)
Pr (0.0000, 0.5000, 0.0000)
Th (0.3240, 0.9500, 0.3373)
Th (0.5000, 0.5000, 0.5000)


# 9
The following is a DFT calculation (GGA-PBE) of Be2PCl after structural relaxation.

Output
**VASP energy**: -3.718 eV per atom
**M_tot**: 0.000 Bohr magnetons per cell
**Energy relative to the elements, uncorrected**: -41 meV per atom

Lattice parameters (Å, degrees): 3.1869 3.1869 6.3008 90.00 90.00 90.00
Space group P4mm (No. 99)
Inequivalent atoms, fractional coordinates:
Be (0.0000, 0.0000, 0.0000)
Be (0.5000, 0.5000, 0.3407)
P (0.5000, 0.5000, 0.0124)
Cl (0.0000, 0.0000, 0.4781)


# 10
The following is a DFT calculation (GGA-PBE) of PtRhBr2 after structural relaxation.

Output
**VASP energy**: -3.542 eV per atom
**M_tot**: 2.073 Bohr magnetons per cell
**Energy relative to the elements, uncorrected**: 642 meV per atom

Lattice parameters (Å, degrees): 3.6822 3.6822 12.3532 90.00 90.00 90.00
Space group I-4m2 (No. 119)
Inequivalent atoms, fractional coordinates:
Pt (0.0000, 0.0000, 0.0000)
Rh (0.0000, 0.5000, 0.7500)
Br (0.0000, 0.0000, 0.5000)
Br (0.0000, 0.5000, 0.2500)


Number 1: Fermi-level density of states 0.000 states/eV per atom. Number 2: Fermi-level density of states 0.793 states/eV per atom. Number 3: Fermi-level density of states 0.257 states/eV per atom. Number 4: Fermi-level density of states 0.493 states/eV per atom. Number 5: Fermi-level density of states 0.548 states/eV per atom. Number 6: Fermi-level density of states 0.834 states/eV per atom. Number 7: Fermi-level density of states 2.946 states/eV per atom. Number 8: Fermi-level density of states 1.569 states/eV per atom. Number 9: Fermi-level density of states 0.340 states/eV per atom. Number 10: Fermi-level density of states 1.300 states/eV per atom.